# 1
A geometry-optimized Sc3AlSe structure. Source: Alexandria via LeMat-Bulk, functional PBE.

```
5
Lattice="4.9443 0.0000 0.0000 0.0000 4.9443 0.0000 0.0000 0.0000 4.9443" Properties=species:S:1:pos:R:3 pbc="T T T"
Al 2.4721 2.4721 2.4721
Sc 2.4721 0.0000 0.0000
Sc 0.0000 2.4721 0.0000
Se 0.0000 0.0000 0.0000
Sc 0.0000 0.0000 2.4721
```

crystal system = cubic
energy above the most stable polymorph in this dataset = 0 meV per atom
formation energy without anion corrections = -0.46 eV per atom
space group = Pm-3m, No. 221

---

# 2
A geometry-optimized CeSmHg2 structure. Source: Alexandria via LeMat-Bulk, functional PBE.

```
4
Lattice="-1.6626 4.9168 1.4641 -5.1135 1.4835 -0.8569 -3.3750 0.5755 4.1667" Properties=species:S:1:pos:R:3 pbc="T T T"
Hg -2.5378 1.7439 1.1935
Ce 0.0000 0.0000 0.0000
Sm -5.0756 3.4879 2.3870
Hg -7.6133 5.2318 3.5804
```

crystal system = cubic
energy above the most stable polymorph in this dataset = 4 meV per atom
space group = Fm-3m, No. 225

---

# 3
A geometry-optimized CaTlV2Pt structure. Source: Alexandria via LeMat-Bulk, functional PBE.

```
5
Lattice="5.1660 0.0000 0.0000 0.0000 5.1290 0.0000 0.0000 0.0000 5.1660" Properties=species:S:1:pos:R:3 pbc="T T T"
Pt 0.0000 2.5645 0.0000
V 2.5830 0.0000 0.0000
V 0.0000 0.0000 2.5830
Tl 0.0000 0.0000 0.0000
Ca 2.5830 2.5645 2.5830
```

crystal system = tetragonal
VASP energy = -23.44 eV/f.u.
space group = P4/mmm, No. 123

---

# 4
A geometry-optimized TbDy2Pb structure. Source: Alexandria via LeMat-Bulk, functional PBE.

```
4
Lattice="3.5326 0.0000 0.0000 1.7663 3.0593 0.0000 1.7663 1.0198 12.0216" Properties=species:S:1:pos:R:3 pbc="T T T"
Pb 0.0000 0.0000 0.0000
Tb 3.5326 2.0395 6.0108
Dy 1.7663 1.0198 8.8492
Dy 5.2989 3.0593 3.1724
```

crystal system = trigonal
energy above the most stable polymorph in this dataset = 328 meV per atom
space group = R-3m, No. 166

---

# 5
A geometry-optimized Li3CdAg5 structure. Source: Alexandria via LeMat-Bulk, functional PBE.

```
18
Lattice="-1.1418 5.0266 2.2492 -7.5314 -0.6008 -2.4806 2.0540 -2.7437 7.1744" Properties=species:S:1:pos:R:3 pbc="T T T"
Cd 0.0000 0.0000 0.0000
Li -2.8268 1.0539 -0.2747
Ag -4.3362 -1.3151 0.7377
Li -5.8464 3.3719 0.0433
Ag -2.1176 0.1381 2.1321
Ag -4.5016 1.5441 4.8109
Li 0.4074 0.3310 2.9827
Ag 1.0814 -0.5694 5.3371
Li -3.9150 -0.9595 3.6725
Li -7.0266 1.3511 3.9602
Ag -5.2983 0.8568 -1.0888
Ag -3.3749 3.5691 0.8574
Ag -1.7121 0.4839 5.0807
Li -2.7042 2.6416 3.2705
Ag -1.1411 -2.0294 3.9561
Ag -7.7006 2.2515 1.6059
Cd -0.5709 2.5133 1.1246
Ag -4.9072 1.1982 1.8623
```

crystal system = hexagonal
VASP energy = -22.40 eV/f.u.
space group = P6_3/mcm, No. 193

---

# 6
A geometry-optimized FeP3Ir structure. Source: Alexandria via LeMat-Bulk, functional PBE.

```
5
Lattice="4.2467 0.0000 0.0000 0.0000 4.2467 0.0000 0.0000 0.0000 4.2467" Properties=species:S:1:pos:R:3 pbc="T T T"
Fe 0.0000 0.0000 0.0000
P 2.1233 0.0000 0.0000
P 0.0000 0.0000 2.1233
Ir 2.1233 2.1233 2.1233
P 0.0000 2.1233 0.0000
```

crystal system = cubic
energy above the most stable polymorph in this dataset = 0 meV per atom
space group = Pm-3m, No. 221

---

# 7
A geometry-optimized NdAl2Pt3 structure. Source: Alexandria via LeMat-Bulk, functional PBE.

```
18
Lattice="4.0865 0.0000 0.0000 0.0000 8.3041 -4.7944 0.0000 0.0000 9.5888" Properties=species:S:1:pos:R:3 pbc="T T T"
Pt 0.0000 2.4217 1.3982
Al 2.0432 3.1390 0.0000
Al 2.0432 6.7346 2.0759
Pt 0.0000 0.0000 2.7963
Al 2.0432 5.1651 4.7944
Nd 0.0000 2.7680 4.7944
Pt 2.0432 4.1521 -2.3972
Pt 0.0000 5.8825 3.3962
Pt 0.0000 5.8825 -3.3962
Nd 0.0000 5.5361 0.0000
Al 2.0432 6.7346 -2.0759
Al 2.0432 1.5695 6.8703
Pt 2.0432 4.1521 2.3972
Pt 2.0432 0.0000 4.7944
Nd 2.0432 0.0000 0.0000
Al 2.0432 1.5695 2.7185
Pt 0.0000 0.0000 6.7925
Pt 0.0000 2.4217 -1.3982
```

crystal system = hexagonal
VASP energy = -36.56 eV/f.u.
space group = P6/mmm, No. 191

---

# 8
A geometry-optimized AcBRu structure. Source: Alexandria via LeMat-Bulk, functional PBE.

```
6
Lattice="-3.9400 -0.4752 -0.6388 -0.5791 -0.5092 3.9451 -1.1626 8.4048 0.9168" Properties=species:S:1:pos:R:3 pbc="T T T"
Ru -4.4869 7.1559 1.7692
Ac -4.4468 4.5054 3.4821
B -3.7206 -0.7311 2.9089
B -2.4101 6.6210 2.0045
Ru -2.8065 7.1388 4.0611
Ac -1.6839 1.3846 1.4313
```

crystal system = tetragonal
energy above the most stable polymorph in this dataset = 0 meV per atom
space group = P4/nmm, No. 129

---

# 9
A geometry-optimized HoGaBi2 structure. Source: Alexandria via LeMat-Bulk, functional PBE.

```
4
Lattice="-0.8658 3.9418 1.0552 -4.0793 -0.8632 -0.1223 0.1563 -1.6088 6.1384" Properties=species:S:1:pos:R:3 pbc="T T T"
Bi 0.0392 -0.4037 1.5402
Ho -2.3944 0.7349 3.5356
Bi 0.1171 -1.2052 4.5982
Ga -2.4725 1.5393 0.4664
```

crystal system = tetragonal
energy above the most stable polymorph in this dataset = 0 meV per atom
space group = P4/mmm, No. 123

---

# 10
A geometry-optimized ZrCd2F structure. Source: Alexandria via LeMat-Bulk, functional PBE.

```
8
Lattice="8.6206 0.0000 0.0000 0.0000 8.6206 0.0000 4.3103 4.3103 2.2764" Properties=species:S:1:pos:R:3 pbc="T T T"
F 4.3103 8.6206 1.1382
Cd 6.4654 7.1835 1.7073
Zr 8.6206 4.3103 1.1382
Cd 10.7757 10.0577 1.7073
F 4.3103 4.3103 0.0000
Cd 2.8732 6.4654 0.5691
Cd 5.7474 2.1551 0.5691
Zr 0.0000 0.0000 0.0000
```

crystal system = tetragonal
energy above the most stable polymorph in this dataset = 0 meV per atom
formation energy without anion corrections = -0.52 eV per atom
space group = I-42d, No. 122

---

# 11
A geometry-optimized LaRe2P structure. Source: Alexandria via LeMat-Bulk, functional PBE.

```
4
Lattice="-3.2671 7.2530 4.3057 -5.5284 6.7636 2.3472 -5.4399 5.2465 4.9699" Properties=species:S:1:pos:R:3 pbc="T T T"
Re -0.2878 0.3894 0.2350
P -10.6765 14.4473 8.7171
Re -6.8299 9.2421 5.5764
La -3.5588 4.8158 2.9057
```

crystal system = trigonal
VASP energy = -33.56 eV/f.u.
space group = R-3m, No. 166

---

# 12
A geometry-optimized AlFe3Rh structure. Source: Alexandria via LeMat-Bulk, functional PBE.

```
5
Lattice="4.5916 0.0000 0.0000 0.0000 4.5916 0.0000 0.0000 0.0000 4.5916" Properties=species:S:1:pos:R:3 pbc="T T T"
Rh 0.0000 0.0000 0.0000
Fe 0.0000 2.2958 0.0000
Fe 0.0000 0.0000 2.2958
Fe 2.2958 0.0000 0.0000
Al 2.2958 2.2958 2.2958
```

crystal system = cubic
energy above the most stable polymorph in this dataset = 10 meV per atom
space group = Pm-3m, No. 221